Entry 1:
Here is a relaxed structure of TaInBr from the Alexandria database. Energies are from PBE-GGA.

## Properties
E above lowest polymorph = 0.372 eV/atom
Raw formation energy = 407 meV/atom
Space group = No. 187

Cell lengths 4.8232, 4.8232, 3.1000 Å; angles 90.00, 90.00, 120.00 degrees
Fractional coordinates of all 3 atoms:
1 In 0.6667 0.3333 0.3333
2 Ta 0.3333 0.6667 0.8334
3 Br 0.0000 0.0000 0.8332


Entry 2:
Here is a relaxed structure of K3Ti3MnSe8 from the Alexandria database. Energies are from PBE-GGA.

## Properties
Raw formation energy = -1091 meV/atom
Space group = No. 166

Cell lengths 7.5393, 7.5356, 8.9073 Å; angles 115.01, 90.00, 120.02 degrees
Last column: magnetic moment on the atom in μB.
Fractional coordinates of all 15 atoms:
1 K 0.0000 0.5000 0.0000  0.00
2 K 0.0000 0.0000 0.0000  0.00
3 K 0.5000 0.5000 0.0000  0.00
4 Ti 0.5000 0.5000 0.5000  0.59
5 Ti 0.0000 0.5000 0.5000  0.59
6 Ti 0.5000 0.0000 0.5000  0.60
7 Mn 0.0000 0.0000 0.5000  3.87
8 Se 0.2696 0.5391 0.3088  -0.03
9 Se 0.2308 0.9550 0.6858  -0.03
10 Se 0.2757 0.0450 0.3145  -0.04
11 Se 0.2307 0.4616 0.6856  -0.04
12 Se 0.7692 0.0450 0.3142  -0.03
13 Se 0.7304 0.4609 0.6912  -0.03
14 Se 0.7243 0.9550 0.6855  -0.04
15 Se 0.7693 0.5384 0.3144  -0.04


Entry 3:
Here is a relaxed structure of La2MoPd from the Alexandria database. Energies are from PBE-GGA.

## Properties
E above lowest polymorph = 0.527 eV/atom
DFT formation energy = 0.59 eV per atom
Space group = No. 122

Cell lengths 4.6987, 4.6987, 9.9141 Å; angles 76.29, 76.29, 90.00 degrees
Last column: magnetic moment on the atom in μB.
Fractional coordinates of all 8 atoms:
1 Pd 0.7500 0.2500 0.5000  0.00
2 Pd 0.0000 0.0000 0.0000  0.00
3 La 0.6177 0.1250 0.2500  -0.05
4 La 0.3750 0.3823 0.7500  -0.05
5 La 0.8750 0.8677 0.7500  -0.04
6 La 0.1323 0.6250 0.2500  -0.05
7 Mo 0.5000 0.5000 0.0000  0.63
8 Mo 0.2500 0.7500 0.5000  0.64


Entry 4:
Here is a relaxed structure of Ac2HgBi5 from the Alexandria database. Energies are from PBE-GGA.

## Properties
DFT formation energy = -0.52 eV per atom
Space group = No. 55

Cell lengths 4.7799, 7.3561, 14.9666 Å; angles 90.00, 90.00, 90.00 degrees
Fractional coordinates of all 16 atoms:
1 Bi 0.5000 0.2430 0.8743
2 Bi 0.5000 0.7570 0.1257
3 Bi 0.0000 0.0301 0.2618
4 Bi 0.0000 0.5301 0.2382
5 Bi 0.0000 0.5000 0.5000
6 Bi 0.0000 0.0000 0.0000
7 Bi 0.0000 0.4699 0.7618
8 Bi 0.0000 0.9699 0.7382
9 Bi 0.5000 0.2570 0.3743
10 Bi 0.5000 0.7430 0.6257
11 Hg 0.0000 0.0000 0.5000
12 Hg 0.0000 0.5000 0.0000
13 Ac 0.5000 0.7487 0.8754
14 Ac 0.5000 0.7513 0.3754
15 Ac 0.5000 0.2513 0.1246
16 Ac 0.5000 0.2487 0.6246


Entry 5:
Here is a relaxed structure of SrVC3 from the Alexandria database. Energies are from PBE-GGA.

## Properties
E above lowest polymorph = 2.664 eV/atom
DFT formation energy = 3.58 eV per atom
Space group = No. 221

Cell lengths 4.4394, 4.4394, 4.4394 Å; angles 90.00, 90.00, 90.00 degrees
Last column: magnetic moment on the atom in μB.
Fractional coordinates of all 5 atoms:
1 V 0.5000 0.5000 0.5000  2.55
2 Sr 0.0000 0.0000 0.0000  -0.11
3 C 0.5000 0.0000 0.0000  -0.18
4 C 0.0000 0.0000 0.5000  -0.18
5 C 0.0000 0.5000 0.0000  -0.18


Entry 6:
Here is a relaxed structure of ScBeH2 from the Alexandria database. Energies are from PBE-GGA.

## Properties
E above lowest polymorph = 0.000 eV/atom
Space group = No. 122

Cell lengths 3.8960, 3.8960, 5.5258 Å; angles 69.36, 69.36, 90.00 degrees
Fractional coordinates of all 8 atoms:
1 H 0.5290 0.1250 0.2500
2 H 0.3750 0.4710 0.7500
3 H 0.8750 0.7790 0.7500
4 H 0.2210 0.6250 0.2500
5 Be 0.2500 0.7500 0.5000
6 Be 0.5000 0.5000 0.0000
7 Sc 0.7500 0.2500 0.5000
8 Sc 0.0000 0.0000 0.0000


Entry 7:
Here is a relaxed structure of SmCd3Hg6 from the Alexandria database. Energies are from PBE-GGA.

## Properties
DFT formation energy = -0.13 eV per atom
Space group = No. 11

Cell lengths 5.0197, 8.1962, 12.6783 Å; angles 111.11, 90.00, 90.00 degrees
Fractional coordinates of all 20 atoms:
1 Hg 0.2500 0.4511 0.1168
2 Hg 0.2500 0.2495 0.5481
3 Hg 0.2500 0.1123 0.2204
4 Hg 0.7500 0.8877 0.7796
5 Hg 0.2500 0.8251 0.3354
6 Hg 0.2500 0.6268 0.7459
7 Hg 0.7500 0.3732 0.2541
8 Hg 0.7500 0.1749 0.6646
9 Hg 0.7500 0.7505 0.4519
10 Hg 0.7500 0.5489 0.8832
11 Hg 0.2500 0.0352 0.9280
12 Hg 0.7500 0.9648 0.0720
13 Cd 0.7500 0.5141 0.5847
14 Cd 0.7500 0.6912 0.1787
15 Cd 0.7500 0.2689 0.9861
16 Cd 0.2500 0.4859 0.4153
17 Cd 0.2500 0.7311 0.0139
18 Cd 0.2500 0.3088 0.8213
19 Sm 0.2500 0.8991 0.6164
20 Sm 0.7500 0.1009 0.3836


Entry 8:
Here is a relaxed structure of ZrTiNb from the Alexandria database. Energies are from PBE-GGA.

## Properties
E above lowest polymorph = 0.121 eV/atom
DFT formation energy = 0.18 eV per atom
Space group = No. 156

Cell lengths 3.0300, 3.0300, 7.4235 Å; angles 90.00, 90.00, 120.00 degrees
Fractional coordinates of all 3 atoms:
1 Nb 0.0000 0.0000 0.0132
2 Ti 0.6667 0.3333 0.3248
3 Zr 0.3333 0.6667 0.6620


no.,magnetization (μB/cell)
1,0.0
2,6.0
3,1.0
4,0.0
5,1.9
6,0.0
7,0.0
8,0.0